Entry 1:
CaHf2Te4 | GGA-PBE | relaxed

Values from the calculation:
For the raw total energy, the calculation gives -5.7866 eV/atom. The uncorrected formation energy comes out at -0.86 eV/atom.

Lattice parameters (Å, degrees): 4.1981 13.4757 14.5648 90.00 90.00 90.00
Space group Cmcm (No. 63)
One atom of each set of equivalent atoms:
Ca  0.0000  0.1254  0.2500 x4
Hf  0.0000  0.3765  0.0637 x8
Te  0.0000  0.0000  0.0000 x4
Te  0.0000  0.2706  0.6127 x8
Te  0.0000  0.4501  0.2500 x4

Entry 2:
Ca3HfTe | GGA-PBE | relaxed

Values from the calculation:
For the raw total energy, the calculation gives -3.5460 eV/atom. The uncorrected formation energy comes out at 0.27 eV/atom.

Lattice parameters (Å, degrees): 5.8268 5.8268 5.8268 90.00 90.00 90.00
Space group Pm-3m (No. 221)
One atom of each set of equivalent atoms:
Ca  0.0000  0.0000  0.5000 x3
Hf  0.5000  0.5000  0.5000 x1
Te  0.0000  0.0000  0.0000 x1

Entry 3:
Ca2HfTl3Te6 | GGA-PBE | relaxed

Values from the calculation:
For the raw total energy, the calculation gives -4.1747 eV/atom. The uncorrected formation energy comes out at -0.85 eV/atom.

Lattice parameters (Å, degrees): 7.7707 13.4430 8.2450 90.00 108.46 90.00
Space group C2/m (No. 12)
One atom of each set of equivalent atoms:
Ca  0.0000  0.1649  0.0000 x4
Hf  0.0000  0.5000  0.0000 x2
Tl  0.0000  0.0000  0.5000 x2
Tl  0.0000  0.3304  0.5000 x4
Te  0.2256  0.3458  0.2128 x8
Te  0.2335  0.5000  0.7811 x4

Entry 4:
Ca2YHfTe | GGA-PBE | relaxed

Values from the calculation:
For the raw total energy, the calculation gives -4.1940 eV/atom. The uncorrected formation energy comes out at 0.52 eV/atom.

Lattice parameters (Å, degrees): 5.8731 5.8731 5.4086 90.00 90.00 90.00
Space group P4/mmm (No. 123)
One atom of each set of equivalent atoms:
Ca  0.0000  0.5000  0.0000 x2
Y  0.0000  0.0000  0.5000 x1
Hf  0.5000  0.5000  0.0000 x1
Te  0.5000  0.5000  0.5000 x1

Entry 5:
CaHfTh | GGA-PBE | relaxed

Values from the calculation:
For the raw total energy, the calculation gives -6.2110 eV/atom. For the formation energy, the calculation gives 0.247 eV per atom.

Lattice parameters (Å, degrees): 3.4195 3.4195 54.2508 90.00 90.00 120.00
Space group R-3m (No. 166, hexagonal axes)
One atom of each set of equivalent atoms:
Ca  0.0000  0.0000  0.1966 x6
Hf  0.0000  0.0000  0.3552 x6
Th  0.0000  0.0000  0.2601 x6

Entry 6:
CaHf2Ti | GGA-PBE | relaxed

Values from the calculation:
For the raw total energy, the calculation gives -6.9293 eV/atom. For the formation energy, the calculation gives 0.522 eV per atom.

Lattice parameters (Å, degrees): 7.1976 7.1976 7.1976 90.00 90.00 90.00
Space group Fm-3m (No. 225)
One atom of each set of equivalent atoms:
Ca  0.0000  0.0000  0.0000 x4
Hf  0.2500  0.2500  0.2500 x8
Ti  0.0000  0.0000  0.5000 x4

Entry 7:
CaHf2Ti | GGA-PBE | relaxed

Values from the calculation:
For the raw total energy, the calculation gives -6.6191 eV/atom. For the formation energy, the calculation gives 0.832 eV per atom.

Lattice parameters (Å, degrees): 4.3145 4.3145 20.9062 90.00 90.00 90.00
Space group I-42d (No. 122)
One atom of each set of equivalent atoms:
Ca  0.0000  0.0000  0.0000 x4
Hf  0.2308  0.7500  0.6250 x8
Ti  0.0000  0.0000  0.5000 x4

Entry 8:
CaHfTi3 | GGA-PBE | relaxed

Values from the calculation:
For the raw total energy, the calculation gives -6.2087 eV/atom. For the formation energy, the calculation gives 0.919 eV per atom.

Lattice parameters (Å, degrees): 5.0037 5.0037 5.0037 90.00 90.00 90.00
Space group Pm-3m (No. 221)
One atom of each set of equivalent atoms:
Ca  0.0000  0.0000  0.0000 x1
Hf  0.5000  0.5000  0.5000 x1
Ti  0.0000  0.5000  0.5000 x3

no.,size of the total moment (μB per cell)
1,0.000
2,4.078
3,0.000
4,0.000
5,0.000
6,11.942
7,0.001
8,0.309